## i
11
Lattice="-3.449 2.167 -1.491 1.094 -2.877 -6.712 -3.139 -5.324 5.833" Properties=species:S:1:pos:R:3 comment="Sr3Li4Pt4 | Alexandria | PBE | optimized geometry" crystal_system=orthorhombic pbc="T T T"
Pt -0.832 -1.263 -6.218
Pt -4.150 -2.108 0.227
Pt -1.344 -3.927 -2.598
Pt -1.522 0.552 -1.985
Sr 0.547 -1.439 -3.356
Sr -1.091 -1.435 0.437
Sr -4.403 -4.600 -2.808
Li -2.459 -2.860 -4.775
Li -3.034 -3.175 2.405
Li -2.874 -1.770 -2.234
Li -2.620 -4.265 -0.137

## ii
11
Lattice="-6.042 -1.584 2.482 2.554 -5.308 -3.237 4.102 1.743 5.031" Properties=species:S:1:pos:R:3 comment="Sr3Li4Pt4 | Alexandria | PBE | optimized geometry" crystal_system=cubic pbc="T T T"
Li 0.629 -1.308 -0.797
Li -1.489 -0.390 0.612
Li 0.463 -3.881 3.223
Li 1.011 0.429 1.239
Sr 3.328 -1.783 0.897
Sr -0.970 0.079 3.757
Sr -1.744 -3.446 -0.377
Pt 1.561 -3.244 -1.978
Pt 2.507 1.065 3.074
Pt 0.239 -2.003 1.663
Pt -3.692 -0.968 1.517

Which structure loses on stability? ii does.

## i
10
Lattice="-5.933 -0.094 0.614 3.533 -4.359 4.482 0.566 7.214 6.571" Properties=species:S:1:pos:R:3 comment="Sr3LiPt | Alexandria | PBE | optimized geometry" crystal_system=orthorhombic pbc="T T T"
Li 0.704 3.233 7.295
Li -2.539 -0.472 4.372
Sr 0.442 -2.843 3.836
Sr 0.203 1.326 2.162
Sr -2.502 2.744 5.226
Sr -2.038 1.435 9.505
Sr 0.667 0.017 6.442
Sr -2.277 5.604 7.831
Pt 0.932 1.461 9.221
Pt -2.767 1.299 2.447

## ii
10
Lattice="-4.308 -0.235 -0.826 -1.182 -5.924 7.860 -1.846 5.432 8.086" Properties=species:S:1:pos:R:3 comment="Sr3LiPt | Alexandria | PBE | optimized geometry" crystal_system=orthorhombic pbc="T T T"
Li -3.764 -0.143 11.191
Li -4.404 -0.013 2.806
Sr -4.999 3.358 4.946
Sr -2.826 0.009 6.257
Sr -5.392 -2.438 8.662
Sr -1.672 0.196 0.180
Sr -5.656 2.043 8.751
Sr -4.595 -3.516 4.810
Pt -3.173 2.818 7.262
Pt -2.840 -2.859 7.149

Which structure loses on stability? ii does.

## i
6
Lattice="-1.257 0.464 -4.091 1.924 -3.713 -1.012 -6.259 -3.654 1.509" Properties=species:S:1:pos:R:3 comment="SrLiPt | Alexandria | PBE | optimized geometry" crystal_system=tetragonal pbc="T T T"
Li 0.473 -1.330 -0.401
Li 0.808 -2.954 -2.952
Sr -2.243 -2.318 -1.942
Sr -2.732 -5.620 0.099
Pt 0.051 -3.995 -0.572
Pt -5.026 -3.942 -1.271

## ii
3
Lattice="-2.923 -2.020 -2.631 4.327 -0.741 -0.523 -0.220 -3.172 2.679" Properties=species:S:1:pos:R:3 comment="SrLiPt | Alexandria | PBE | optimized geometry" crystal_system=hexagonal pbc="T T T"
Pt 1.874 -1.695 -0.781
Li -0.037 -0.530 0.448
Sr -0.653 -3.709 -0.142

## iii
3
Lattice="5.745 0.002 -0.002 4.586 3.459 -0.010 1.159 0.393 3.434" Properties=species:S:1:pos:R:3 comment="SrLiPt | Alexandria | PBE | optimized geometry" crystal_system=tetragonal pbc="T T T"
Li 9.919 3.323 0.143
Sr 7.407 2.483 1.087
Pt 4.496 1.509 2.180

Which structure loses on stability? iii does.

## i
5
Lattice="-2.868 -1.783 -2.835 -2.900 -4.566 2.378 -5.582 0.602 1.840" Properties=species:S:1:pos:R:3 comment="Sr2LiPt2 | Alexandria | PBE | optimized geometry" crystal_system=orthorhombic pbc="T T T"
Sr -6.029 -4.731 0.503
Sr -5.322 -1.017 0.880
Li -2.884 -3.175 -0.229
Pt -6.351 -2.994 3.165
Pt -5.000 -2.754 -1.782

## ii
10
Lattice="-3.569 -1.265 -6.727 6.235 -3.730 -2.607 -1.579 -3.713 1.536" Properties=species:S:1:pos:R:3 comment="Sr2LiPt2 | Alexandria | PBE | optimized geometry" crystal_system=tetragonal pbc="T T T"
Li 1.333 -2.498 -4.667
Li 0.000 0.000 0.000
Sr -0.900 -2.910 -1.892
Sr -1.696 -4.134 -5.668
Sr 2.783 -4.575 -2.129
Sr 1.987 -5.798 -5.906
Pt 1.884 -1.555 -1.822
Pt -1.449 -1.261 -4.538
Pt 0.782 -3.441 -7.512
Pt 4.115 -3.734 -4.795

## iii
10
Lattice="-3.786 -2.588 -3.725 5.777 -0.980 -0.506 -2.019 -5.433 5.826" Properties=species:S:1:pos:R:3 comment="Sr2LiPt2 | Alexandria | PBE | optimized geometry" crystal_system=monoclinic pbc="T T T"
Sr 2.527 -3.127 0.890
Sr 0.478 -6.554 2.780
Sr -0.506 -2.446 -1.185
Sr -2.555 -5.873 0.706
Li -1.904 -4.342 3.986
Li -3.900 -3.679 -1.884
Pt -0.511 -3.679 1.821
Pt 0.483 -5.321 -0.225
Pt -2.274 -2.857 -3.820
Pt 2.246 -6.143 5.416

Which structure loses on stability? ii does.

## i
5
Lattice="-5.367 1.779 1.718 0.756 -2.730 5.187 -0.716 2.853 4.973" Properties=species:S:1:pos:R:3 comment="Sr2LiPt2 | Alexandria | PBE | optimized geometry" crystal_system=tetragonal pbc="T T T"
Sr -4.195 2.079 5.072
Sr -1.133 -0.176 6.806
Li 0.000 0.000 0.000
Pt -3.553 1.265 7.917
Pt -1.774 0.637 3.961

## ii
10
Lattice="8.525 0.000 0.000 0.000 8.525 0.000 0.000 0.000 3.628" Properties=species:S:1:pos:R:3 comment="Sr2LiPt2 | Alexandria | PBE | optimized geometry" crystal_system=tetragonal pbc="T T T"
Sr 5.495 1.233 0.000
Sr 7.293 5.495 0.000
Sr 1.233 3.030 0.000
Sr 3.030 7.293 0.000
Li 0.000 0.000 0.000
Li 4.263 4.263 0.000
Pt 2.947 1.316 1.814
Pt 1.316 5.579 1.814
Pt 5.579 7.209 1.814
Pt 7.209 2.947 1.814

Which structure loses on stability? ii does.

## i
5
Lattice="5.336 0.000 0.000 0.000 5.336 0.000 0.000 0.000 5.336" Properties=species:S:1:pos:R:3 comment="SrLiPt3 | Alexandria | PBE | optimized geometry" crystal_system=cubic pbc="T T T"
Pt 0.000 0.000 2.668
Pt 2.668 0.000 0.000
Pt 0.000 2.668 0.000
Li 2.668 2.668 2.668
Sr 0.000 0.000 0.000

## ii
5
Lattice="4.497 0.000 0.000 0.000 4.497 0.000 0.000 0.000 4.497" Properties=species:S:1:pos:R:3 comment="SrLiPt3 | Alexandria | PBE | optimized geometry" crystal_system=cubic pbc="T T T"
Pt 0.000 0.000 2.249
Pt 2.249 0.000 0.000
Pt 0.000 2.249 0.000
Sr 2.249 2.249 2.249
Li 0.000 0.000 0.000

Which structure loses on stability? i does.

## i
12
Lattice="-1.072 -4.616 -3.031 3.252 -3.512 4.198 -5.661 -0.562 2.858" Properties=species:S:1:pos:R:3 comment="SrLi3Pt2 | Alexandria | PBE | optimized geometry" crystal_system=orthorhombic pbc="T T T"
Li -0.862 -3.559 -2.105
Li -2.620 -5.131 6.130
Li -0.356 -4.722 4.707
Li -3.126 -3.968 -0.681
Li -3.738 -3.602 4.198
Li 0.256 -5.088 -0.173
Pt 1.199 -2.833 3.890
Pt -3.609 -1.241 3.167
Pt 0.663 -5.141 2.374
Pt -4.145 -3.549 1.651
Sr -2.384 -6.133 2.353
Sr -1.098 -2.557 1.673

## ii
12
Lattice="4.229 0.000 0.000 -2.114 7.660 0.037 0.000 -3.424 7.114" Properties=species:S:1:pos:R:3 comment="SrLi3Pt2 | Alexandria | PBE | optimized geometry" crystal_system=monoclinic pbc="T T T"
Li 0.000 5.119 2.409
Li 2.114 1.305 3.352
Li 2.114 -0.884 4.742
Li 0.000 -0.578 2.688
Li 2.114 4.813 4.463
Li 0.000 2.930 3.799
Sr 0.000 2.040 0.394
Sr 2.114 2.196 6.757
Pt 0.000 4.468 5.855
Pt 0.000 0.596 4.971
Pt 2.114 -0.232 1.296
Pt 2.114 3.640 2.180

Which structure loses on stability? ii does.

## i
6
Lattice="2.679 0.000 0.775 1.433 4.706 0.065 -0.662 -0.882 7.309" Properties=species:S:1:pos:R:3 comment="LiTaPt4 | Alexandria | PBE | optimized geometry" crystal_system=monoclinic pbc="T T T"
Ta 1.725 1.912 4.074
Pt 1.053 2.224 1.377
Pt 0.674 -0.257 2.688
Pt 2.776 4.081 5.460
Pt 2.396 1.600 6.771
Li 0.000 0.000 0.000

## ii
6
Lattice="0.000 3.693 3.693 3.693 0.000 3.693 3.693 3.693 0.000" Properties=species:S:1:pos:R:3 comment="LiTaPt4 | Alexandria | PBE | optimized geometry" crystal_system=cubic pbc="T T T"
Pt 2.767 4.618 4.618
Pt 4.618 4.618 2.767
Pt 4.618 2.767 4.618
Pt 2.767 2.767 2.767
Li 0.000 0.000 0.000
Ta 5.539 5.539 5.539

## iii
12
Lattice="5.601 0.008 -0.092 0.008 5.602 -0.006 -2.711 -2.812 6.576" Properties=species:S:1:pos:R:3 comment="LiTaPt4 | Alexandria | PBE | optimized geometry" crystal_system=monoclinic pbc="T T T"
Ta 1.445 -1.402 3.242
Ta -1.352 1.395 3.285
Pt 0.024 0.000 1.522
Pt 0.025 2.798 1.524
Pt 2.874 -0.001 4.953
Pt 2.822 0.001 1.481
Pt 0.070 -0.007 5.004
Pt 2.828 2.805 1.473
Pt 2.874 2.798 4.955
Pt 0.076 2.797 4.996
Li 1.402 1.402 -0.025
Li 1.496 1.395 6.502

Which structure loses on stability? ii does.